This record from Alexandria describes RbSr3Tc after structural relaxation. The functional is GGA-PBE.

Geometry as POSCAR:
```
RbSr3Tc
1.0
6.2787 0.0000 0.0000
0.0000 6.2787 0.0000
0.0000 0.0000 6.2787
Sr Tc Rb
3 1 1
Cartesian
0.0000 3.1393 0.0000 Sr
0.0000 0.0000 3.1393 Sr
3.1393 0.0000 0.0000 Sr
3.1393 3.1393 3.1393 Tc
0.0000 0.0000 0.0000 Rb
```

Calculated values
**Relative energy among the computed polymorphs**: 1222 meV/atom
**Energy of formation from the pure elements**: 1.727 eV/atom

This record from Alexandria describes RbSrTc3 after structural relaxation. The functional is GGA-PBE.

Geometry as POSCAR:
```
RbSrTc3
1.0
-4.0203 1.2999 2.6162
0.6913 -3.9008 3.0005
2.8384 2.7912 2.9748
Sr Tc Rb
1 3 1
Cartesian
-0.2453 0.0952 4.2957 Sr
0.3456 -1.9504 1.5002 Tc
1.4192 1.3956 1.4874 Tc
-2.0101 0.6500 1.3081 Tc
0.0000 0.0000 0.0000 Rb
```

Calculated values
**Relative energy among the computed polymorphs**: 21 meV/atom
**Energy of formation from the pure elements**: 2.765 eV/atom